(1)
A plane-wave DFT calculation with PBE-GGA was carried out for an optimized crystal structure of UCu2Pt4.

Summary:
The value obtained for the density of states at the Fermi level is 17.08 states/eV per cell. Its total magnetization is 1.54 μB/f.u. The calculation puts the uncorrected energy at -6.643 eV per atom. As for the formation enthalpy at 0 K: -408.3 meV/atom.

Cell lengths 6.6160, 6.6160, 5.2733 Å; angles 90.00, 90.00, 90.00 degrees
Element x y z (fractional)
U  0.0000  0.0000  0.0000
U  0.5000  0.5000  0.5000
Cu  0.0000  0.5000  0.2500
Cu  0.0000  0.5000  0.7500
Cu  0.5000  0.0000  0.2500
Cu  0.5000  0.0000  0.7500
Pt  0.2061  0.2061  0.5000
Pt  0.2061  0.7939  0.5000
Pt  0.2939  0.2939  0.0000
Pt  0.2939  0.7061  0.0000
Pt  0.7061  0.2939  0.0000
Pt  0.7061  0.7061  0.0000
Pt  0.7939  0.2061  0.5000
Pt  0.7939  0.7939  0.5000

***

(2)
A plane-wave DFT calculation with PBE-GGA was carried out for an optimized crystal structure of UCu2Pt7.

Summary:
The value obtained for the density of states at the Fermi level is 8.97 states/eV per cell. Its total magnetization is 0.00 μB/f.u. The calculation puts the uncorrected energy at -6.134 eV per atom. As for the formation enthalpy at 0 K: 43.0 meV/atom.

Cell lengths 7.1644, 7.1644, 4.4350 Å; angles 90.00, 90.00, 118.56 degrees
Element x y z (fractional)
U  0.0000  0.0000  0.0000
Cu  0.2985  0.7015  0.5000
Cu  0.7015  0.2985  0.5000
Pt  0.0785  0.2997  0.5000
Pt  0.2054  0.7946  0.0000
Pt  0.2997  0.0785  0.5000
Pt  0.5000  0.5000  0.5000
Pt  0.7003  0.9215  0.5000
Pt  0.7946  0.2054  0.0000
Pt  0.9215  0.7003  0.5000

***

(3)
A plane-wave DFT calculation with PBE-GGA was carried out for an optimized crystal structure of UCu6Pt6.

Summary:
The value obtained for the density of states at the Fermi level is 10.60 states/eV per cell. Its total magnetization is 1.54 μB/f.u. The calculation puts the uncorrected energy at -5.843 eV per atom. As for the formation enthalpy at 0 K: -295.9 meV/atom.

Cell lengths 6.6436, 6.6436, 6.6436 Å; angles 134.82, 100.52, 96.46 degrees
Element x y z (fractional)
U  0.0000  0.0000  0.0000
Cu  0.0000  0.0000  0.5000
Cu  0.0000  0.5000  0.0000
Cu  0.2427  0.7427  0.5000
Cu  0.5000  0.0000  0.0000
Cu  0.5000  0.5000  0.5000
Cu  0.7573  0.2573  0.5000
Pt  0.1824  0.5000  0.6824
Pt  0.3335  0.0000  0.3335
Pt  0.3429  0.3429  0.0000
Pt  0.6571  0.6571  0.0000
Pt  0.6665  0.0000  0.6665
Pt  0.8176  0.5000  0.3176

***

(4)
A plane-wave DFT calculation with PBE-GGA was carried out for an optimized crystal structure of UCu3Pt4.

Summary:
The value obtained for the density of states at the Fermi level is 13.89 states/eV per cell. Its total magnetization is 1.24 μB/f.u. The calculation puts the uncorrected energy at -6.311 eV per atom. As for the formation enthalpy at 0 K: -343.4 meV/atom.

Cell lengths 9.0015, 5.8501, 4.7835 Å; angles 90.00, 90.00, 90.00 degrees
Element x y z (fractional)
U  0.0000  0.0000  0.0000
U  0.5000  0.0000  0.0000
Cu  0.0000  0.5000  0.0000
Cu  0.2500  0.0000  0.4161
Cu  0.2500  0.5000  0.3554
Cu  0.5000  0.5000  0.0000
Cu  0.7500  0.0000  0.5839
Cu  0.7500  0.5000  0.6446
Pt  0.0000  0.2612  0.5000
Pt  0.0000  0.7388  0.5000
Pt  0.2500  0.2684  0.8707
Pt  0.2500  0.7316  0.8707
Pt  0.5000  0.2612  0.5000
Pt  0.5000  0.7388  0.5000
Pt  0.7500  0.2684  0.1293
Pt  0.7500  0.7316  0.1293

***

(5)
A plane-wave DFT calculation with PBE-GGA was carried out for an optimized crystal structure of UCuPt6.

Summary:
The value obtained for the density of states at the Fermi level is 7.51 states/eV per cell. Its total magnetization is 0.00 μB/f.u. The calculation puts the energy above the most stable polymorph in this dataset at 0.0 kJ/mol of atoms. The calculation puts the uncorrected energy at -6.947 eV per atom. As for the formation enthalpy at 0 K: -493.0 meV/atom.

Cell lengths 5.6838, 5.6838, 4.0586 Å; angles 90.00, 90.00, 90.00 degrees
Element x y z (fractional)
U  0.0000  0.0000  0.0000
Cu  0.5000  0.5000  0.0000
Pt  0.0000  0.5000  0.0000
Pt  0.2512  0.2512  0.5000
Pt  0.2512  0.7488  0.5000
Pt  0.5000  0.0000  0.0000
Pt  0.7488  0.2512  0.5000
Pt  0.7488  0.7488  0.5000

***

(6)
A plane-wave DFT calculation with PBE-GGA was carried out for an optimized crystal structure of UCuPt6.

Summary:
The value obtained for the density of states at the Fermi level is 7.78 states/eV per cell. Its total magnetization is 0.00 μB/f.u. The calculation puts the energy above the most stable polymorph in this dataset at 7.0 kJ/mol of atoms. The calculation puts the uncorrected energy at -6.874 eV per atom. As for the formation enthalpy at 0 K: -420.8 meV/atom.

Cell lengths 5.7161, 5.7161, 4.6533 Å; angles 90.00, 90.00, 120.00 degrees
Element x y z (fractional)
U  0.0000  0.0000  0.0000
Cu  0.3333  0.6667  0.5000
Pt  0.0031  0.5016  0.0000
Pt  0.3362  0.1681  0.5000
Pt  0.4984  0.5016  0.0000
Pt  0.4984  0.9969  0.0000
Pt  0.8319  0.1681  0.5000
Pt  0.8319  0.6638  0.5000

***

(7)
A plane-wave DFT calculation with PBE-GGA was carried out for an optimized crystal structure of VCu3Pt12.

Summary:
The value obtained for the density of states at the Fermi level is 15.74 states/eV per cell. Its total magnetization is 0.01 μB/f.u. The calculation puts the uncorrected energy at -6.093 eV per atom. As for the formation enthalpy at 0 K: -224.3 meV/atom.

Cell lengths 3.9092, 3.9092, 15.5800 Å; angles 90.00, 90.00, 90.00 degrees
Element x y z (fractional)
V  0.0000  0.0000  0.0000
Cu  0.0000  0.0000  0.2512
Cu  0.0000  0.0000  0.5000
Cu  0.0000  0.0000  0.7488
Pt  0.0000  0.5000  0.1227
Pt  0.0000  0.5000  0.3749
Pt  0.0000  0.5000  0.6251
Pt  0.0000  0.5000  0.8773
Pt  0.5000  0.0000  0.1227
Pt  0.5000  0.0000  0.3749
Pt  0.5000  0.0000  0.6251
Pt  0.5000  0.0000  0.8773
Pt  0.5000  0.5000  0.0000
Pt  0.5000  0.5000  0.2495
Pt  0.5000  0.5000  0.5000
Pt  0.5000  0.5000  0.7505

***

(8)
A plane-wave DFT calculation with PBE-GGA was carried out for an optimized crystal structure of VCuPt2.

Summary:
The value obtained for the density of states at the Fermi level is 10.89 states/eV per cell. Its total magnetization is 0.95 μB/f.u. The calculation puts the uncorrected energy at -6.399 eV per atom. As for the formation enthalpy at 0 K: -74.6 meV/atom.

Cell lengths 4.1568, 4.1568, 12.6881 Å; angles 90.00, 90.00, 120.00 degrees
Element x y z (fractional)
V  0.0000  0.0000  0.0000
V  0.3333  0.6667  0.6667
V  0.6667  0.3333  0.3333
Cu  0.0000  0.0000  0.2043
Cu  0.3333  0.6667  0.8710
Cu  0.6667  0.3333  0.5376
Pt  0.0000  0.0000  0.5834
Pt  0.0000  0.0000  0.7910
Pt  0.3333  0.6667  0.2500
Pt  0.3333  0.6667  0.4576
Pt  0.6667  0.3333  0.1243
Pt  0.6667  0.3333  0.9167

***

Question: Which of these has the highest density of states at the Fermi level?
Answer: UCu2Pt4

***

What did the eighth record say?
A plane-wave DFT calculation with PBE-GGA was carried out for an optimized crystal structure of VCuPt2.

Summary:
The value obtained for the density of states at the Fermi level is 10.89 states/eV per cell. Its total magnetization is 0.95 μB/f.u. The calculation puts the uncorrected energy at -6.399 eV per atom. As for the formation enthalpy at 0 K: -74.6 meV/atom.

Cell lengths 4.1568, 4.1568, 12.6881 Å; angles 90.00, 90.00, 120.00 degrees
Element x y z (fractional)
V  0.0000  0.0000  0.0000
V  0.3333  0.6667  0.6667
V  0.6667  0.3333  0.3333
Cu  0.0000  0.0000  0.2043
Cu  0.3333  0.6667  0.8710
Cu  0.6667  0.3333  0.5376
Pt  0.0000  0.0000  0.5834
Pt  0.0000  0.0000  0.7910
Pt  0.3333  0.6667  0.2500
Pt  0.3333  0.6667  0.4576
Pt  0.6667  0.3333  0.1243
Pt  0.6667  0.3333  0.9167

***

Question: Which of these has the lowest density of states at the Fermi level?
Answer: number 5

***

Question: Which value of density of states at the Fermi level does entry 5 give?
Answer: 7.51 states/eV per cell